Entry 1:
Computed, not measured: YC after structural relaxation at the PBE-GGA level of DFT.

Unit cell a=7.397 b=7.397 c=7.397 alpha=90.00 beta=90.00 gamma=90.00
Positions (direct):
Y1 0.330 0.330 0.330
Y2 0.330 0.670 0.670
Y3 0.670 0.330 0.670
Y4 0.670 0.670 0.330
Y5 0.830 0.830 0.830
Y6 0.830 0.170 0.170
Y7 0.170 0.830 0.170
Y8 0.170 0.170 0.830
C1 0.152 0.152 0.152
C2 0.152 0.848 0.848
C3 0.848 0.152 0.848
C4 0.848 0.848 0.152
C5 0.652 0.652 0.652
C6 0.652 0.348 0.348
C7 0.348 0.652 0.348
C8 0.348 0.348 0.652

Output
M_tot: 4.378 μB per cell
space group: I-43m
energy above the most stable polymorph in this dataset: 836.8 meV/atom
DOS(E_F): 1.278 states/eV/atom
calculated formation energy: 0.622 eV per atom

=====

Entry 2:
Computed, not measured: TiMnHPd2 after structural relaxation at the PBE-GGA level of DFT.

Unit cell a=3.894 b=3.894 c=4.114 alpha=90.00 beta=90.00 gamma=90.00
Positions (direct):
H1 0.000 0.000 0.000
Mn1 0.500 0.500 0.500
Pd1 0.000 0.500 0.000
Pd2 0.500 0.000 0.000
Ti1 0.000 0.000 0.500

Output
M_tot: 2.150 μB per cell
space group: P4/mmm
DOS(E_F): 0.723 states/eV/atom
VASP energy: -32.15 eV per cell

=====

Entry 3:
Computed, not measured: NdSm2H after structural relaxation at the PBE-GGA level of DFT.

Unit cell a=3.674 b=3.674 c=9.079 alpha=78.34 beta=78.34 gamma=60.01
Positions (direct):
Nd1 0.500 0.500 0.499
Sm1 0.053 0.053 0.839
Sm2 0.280 0.280 0.161
H1 0.667 0.667 0.000

Output
M_tot: 0.000 μB per cell
space group: R3m
energy above the most stable polymorph in this dataset: 16.0 meV/atom
DOS(E_F): 1.121 states/eV/atom

=====

Entry 4:
Computed, not measured: SrSc2Ir2 after structural relaxation at the PBE-GGA level of DFT.

Unit cell a=8.068 b=8.068 c=3.111 alpha=90.00 beta=90.00 gamma=90.00
Positions (direct):
Sc1 0.367 0.867 0.000
Sc2 0.867 0.633 0.000
Sc3 0.633 0.133 0.000
Sc4 0.133 0.367 0.000
Sr1 0.000 0.000 0.000
Sr2 0.500 0.500 0.000
Ir1 0.155 0.655 0.500
Ir2 0.655 0.845 0.500
Ir3 0.845 0.345 0.500
Ir4 0.345 0.155 0.500

Output
M_tot: 0.000 μB per cell
space group: P4/mbm
energy above the most stable polymorph in this dataset: 162.8 meV/atom
DOS(E_F): 0.567 states/eV/atom
calculated formation energy: -0.543 eV per atom